! ThU2Mn9, relaxed, DFT PBE; values from VASP
&SYSTEM
  ibrav = 0, nat = 24, ntyp = 3
/
ATOMIC_SPECIES
Mn 54.94 Mn.upf
U 238.03 U.upf
Th 232.04 Th.upf
ATOMIC_POSITIONS angstrom
Mn 3.9517 6.6972 2.5971
Mn 2.6457 3.5360 5.8173
Mn 2.6457 7.6361 6.4830
Mn 3.9517 2.5971 1.5030
Mn 1.3397 1.5030 5.6031
Mn 1.3397 6.6972 2.5971
Mn 2.6457 6.4830 0.5641
Mn 2.6457 0.0000 4.1001
Mn 1.3397 5.6031 6.6972
Mn 2.6457 4.6642 2.3829
Mn 2.6457 4.1001 0.0000
Mn 1.3397 2.5971 1.5030
Mn 2.6457 1.7172 7.6361
Mn 3.9517 5.6031 6.6972
Mn 2.6457 5.8173 4.6642
Mn 2.6457 2.3829 3.5360
Mn 3.9517 1.5030 5.6031
Mn 2.6457 0.5641 1.7172
U 0.0000 0.9275 3.1726
U 0.0000 5.0276 0.9275
U 0.0000 3.1726 7.2728
U 0.0000 7.2728 5.0276
Th 0.0000 0.0000 0.0000
Th 0.0000 4.1001 4.1001
CELL_PARAMETERS angstrom
5.2913 0.0000 0.0000
0.0000 8.2002 0.0000
0.0000 0.0000 8.2002
! * SG: P4/mbm (127)
! * total DFT energy (no corrections): -9.321 eV/atom
! * energy relative to the elements: 0.0557 eV per atom